## a
First-principles (PBE) data for a relaxed structure of CaSc, as listed in Alexandria via LeMat-Bulk.

Cell lengths 3.642, 3.642, 9.663 Å; angles 90.00, 90.00, 90.00 degrees
Sites, in units of the cell vectors:
Ca 0.250 0.250 0.154
Ca 0.750 0.750 0.846
Sc 0.250 0.250 0.592
Sc 0.750 0.750 0.408

Results
- Total magnetization: 0.310 μB per formula unit

## b
First-principles (PBE) data for a relaxed structure of CaSc, as listed in Alexandria via LeMat-Bulk.

Cell lengths 5.611, 5.611, 5.611 Å; angles 60.00, 60.00, 60.00 degrees
Sites, in units of the cell vectors:
Ca 0.125 0.125 0.125
Ca 0.875 0.875 0.875
Sc 0.375 0.375 0.375
Sc 0.625 0.625 0.625

Results
- Total magnetization: 0.615 μB per formula unit

a ends up most stable, edging out the next structure by 149 meV/atom.

## a
First-principles (PBE) data for a relaxed structure of CaSc, as listed in Alexandria via LeMat-Bulk.

Cell lengths 10.345, 10.345, 3.616 Å; angles 90.00, 90.00, 160.39 degrees
Sites, in units of the cell vectors:
Ca 0.081 0.919 0.750
Ca 0.919 0.081 0.250
Sc 0.296 0.704 0.750
Sc 0.704 0.296 0.250

Results
- Total magnetization: 0.195 μB per formula unit

## b
First-principles (PBE) data for a relaxed structure of CaSc, as listed in Alexandria via LeMat-Bulk.

Cell lengths 3.435, 3.435, 12.326 Å; angles 90.00, 90.00, 120.00 degrees
Sites, in units of the cell vectors:
Ca 0.333 0.667 0.000
Ca 0.667 0.333 0.500
Sc 0.333 0.667 0.263
Sc 0.667 0.333 0.763

Results
- Total magnetization: 0.782 μB per formula unit

a ends up most stable, edging out the next structure by 207 meV/atom.

## a
First-principles (PBE) data for a relaxed structure of CaSc, as listed in Alexandria via LeMat-Bulk.

Cell lengths 9.530, 9.530, 9.530 Å; angles 90.00, 90.00, 90.00 degrees
Sites, in units of the cell vectors:
Ca 0.000 0.250 0.500
Ca 0.000 0.750 0.500
Ca 0.250 0.500 0.000
Ca 0.500 0.000 0.250
Ca 0.500 0.000 0.750
Ca 0.750 0.500 0.000
Sc 0.000 0.500 0.250
Sc 0.000 0.500 0.750
Sc 0.250 0.000 0.500
Sc 0.500 0.250 0.000
Sc 0.500 0.750 0.000
Sc 0.750 0.000 0.500

Results
- Total magnetization: 2.140 μB per formula unit

## b
First-principles (PBE) data for a relaxed structure of CaSc, as listed in Alexandria via LeMat-Bulk.

Cell lengths 8.843, 8.843, 8.843 Å; angles 109.47, 109.47, 109.47 degrees
Sites, in units of the cell vectors:
Ca 0.000 0.000 0.589
Ca 0.000 0.589 0.000
Ca 0.411 0.411 0.411
Ca 0.589 0.000 0.000
Sc 0.000 0.000 0.200
Sc 0.000 0.200 0.000
Sc 0.200 0.000 0.000
Sc 0.800 0.800 0.800

Results
- Total magnetization: 0.037 μB per formula unit

b ends up most stable, edging out the next structure by 709 meV/atom.

## a
First-principles (PBE) data for a relaxed structure of CaSc, as listed in Alexandria via LeMat-Bulk.

Cell lengths 5.723, 5.723, 9.349 Å; angles 90.00, 90.00, 120.00 degrees
Sites, in units of the cell vectors:
Ca 0.000 0.000 0.250
Ca 0.000 0.000 0.750
Ca 0.333 0.667 0.250
Ca 0.667 0.333 0.750
Sc 0.333 0.667 0.590
Sc 0.333 0.667 0.910
Sc 0.667 0.333 0.090
Sc 0.667 0.333 0.410

Results
- Total magnetization: 0.009 μB per formula unit

## b
First-principles (PBE) data for a relaxed structure of CaSc, as listed in Alexandria via LeMat-Bulk.

Cell lengths 4.552, 4.552, 4.552 Å; angles 60.00, 60.00, 60.00 degrees
Sites, in units of the cell vectors:
Ca 0.000 0.000 0.000
Sc 0.500 0.500 0.500

Results
- Total magnetization: 0.508 μB per formula unit

a ends up most stable, edging out the next structure by 355 meV/atom.

## a
First-principles (PBE) data for a relaxed structure of CaSc, as listed in Alexandria via LeMat-Bulk.

Cell lengths 3.536, 3.536, 11.650 Å; angles 90.00, 90.00, 120.00 degrees
Sites, in units of the cell vectors:
Ca 0.333 0.667 0.143
Ca 0.667 0.333 0.857
Sc 0.333 0.667 0.604
Sc 0.667 0.333 0.396

Results
- Total magnetization: 0.462 μB per formula unit

## b
First-principles (PBE) data for a relaxed structure of CaSc, as listed in Alexandria via LeMat-Bulk.

Cell lengths 6.995, 6.995, 8.269 Å; angles 105.01, 105.01, 29.52 degrees
Sites, in units of the cell vectors:
Ca 0.000 0.000 0.000
Ca 0.049 0.049 0.550
Ca 0.323 0.323 0.642
Sc 0.358 0.358 0.227
Sc 0.680 0.680 0.292
Sc 0.714 0.714 0.932

Results
- Total magnetization: 0.715 μB per formula unit

## c
First-principles (PBE) data for a relaxed structure of CaSc, as listed in Alexandria via LeMat-Bulk.

Cell lengths 6.236, 6.236, 6.236 Å; angles 32.74, 32.74, 32.74 degrees
Sites, in units of the cell vectors:
Ca 0.000 0.000 0.000
Sc 0.500 0.500 0.500

Results
- Total magnetization: 0.853 μB per formula unit

## d
First-principles (PBE) data for a relaxed structure of CaSc, as listed in Alexandria via LeMat-Bulk.

Cell lengths 10.045, 10.045, 10.045 Å; angles 91.61, 91.61, 160.70 degrees
Sites, in units of the cell vectors:
Ca 0.060 0.339 0.399
Ca 0.339 0.940 0.279
Ca 0.661 0.060 0.721
Ca 0.940 0.661 0.601
Sc 0.161 0.781 0.942
Sc 0.219 0.161 0.381
Sc 0.781 0.839 0.619
Sc 0.839 0.219 0.058

Results
- Total magnetization: 1.061 μB per formula unit

a ends up most stable, edging out the next structure by 29 meV/atom.

## a
First-principles (PBE) data for a relaxed structure of Ca4Sc, as listed in Alexandria via LeMat-Bulk.

Cell lengths 6.677, 6.677, 6.677 Å; angles 109.47, 109.47, 109.47 degrees
Sites, in units of the cell vectors:
Ca 0.000 0.000 0.500
Ca 0.000 0.500 0.000
Ca 0.500 0.000 0.000
Ca 0.500 0.500 0.500
Sc 0.000 0.000 0.000

Results
- Total magnetization: 1.315 μB per formula unit

## b
First-principles (PBE) data for a relaxed structure of Ca4Sc, as listed in Alexandria via LeMat-Bulk.

Cell lengths 9.958, 9.958, 9.958 Å; angles 153.38, 153.38, 38.00 degrees
Sites, in units of the cell vectors:
Ca 0.091 0.091 0.000
Ca 0.250 0.750 0.500
Ca 0.750 0.250 0.500
Ca 0.909 0.909 0.000
Sc 0.500 0.500 0.000

Results
- Total magnetization: 0.478 μB per formula unit

b ends up most stable, edging out the next structure by 69 meV/atom.